[1]
8
Lattice="3.746 0.000 0.000 0.000 3.746 0.000 0.000 0.000 7.830" Properties=species:S:1:pos:R:3 comment="PBEsol Cr2AgW, relaxed" relative_energy_ev_per_atom=0.152 formation_enthalpy_0k_mev_per_atom=632 magnetic_moment_mub_per_fu=0.48 pbc="T T T"
Cr 0.000 0.000 0.000
Cr 0.000 1.873 1.957
Cr 1.873 0.000 5.872
Cr 1.873 1.873 3.915
Ag 0.000 1.873 5.872
Ag 1.873 0.000 1.957
W 0.000 0.000 3.915
W 1.873 1.873 0.000

---

[2]
4
Lattice="4.786 0.000 0.000 0.000 2.571 0.000 -1.983 0.000 4.474" Properties=species:S:1:pos:R:3 comment="PBEsol Cr2AgW, relaxed" relative_energy_ev_per_atom=0.163 formation_enthalpy_0k_mev_per_atom=643 magnetic_moment_mub_per_fu=0.00 pbc="T T T"
Cr 0.000 0.000 0.000
Cr -0.991 1.285 2.237
Ag 1.402 0.000 2.237
W 2.393 1.285 0.000

---

[3]
5
Lattice="4.746 0.000 0.000 0.000 4.746 0.000 0.000 0.000 4.746" Properties=species:S:1:pos:R:3 comment="PBEsol YCr3Ag, relaxed" formation_enthalpy_0k_mev_per_atom=2171 magnetic_moment_mub_per_fu=10.49 pbc="T T T"
Y 0.000 0.000 0.000
Cr 0.000 0.000 2.373
Cr 0.000 2.373 0.000
Cr 2.373 0.000 0.000
Ag 2.373 2.373 2.373

---

[4]
12
Lattice="2.794 0.000 0.000 -1.397 2.420 0.000 0.000 0.000 26.829" Properties=species:S:1:pos:R:3 comment="PBEsol ZnCrAg2, relaxed" formation_enthalpy_0k_mev_per_atom=309 magnetic_moment_mub_per_fu=2.76 pbc="T T T"
Zn 0.000 0.000 0.000
Zn 0.000 1.613 17.886
Zn 1.397 0.807 8.943
Cr 0.000 0.000 19.950
Cr 0.000 1.613 11.007
Cr 1.397 0.807 2.063
Ag 0.000 0.000 6.732
Ag 0.000 0.000 13.270
Ag 0.000 1.613 4.327
Ag 0.000 1.613 24.618
Ag 1.397 0.807 15.675
Ag 1.397 0.807 22.213

---

[5]
8
Lattice="5.457 0.000 0.000 0.000 9.152 0.000 -1.248 0.000 2.529" Properties=species:S:1:pos:R:3 comment="PBEsol ZnCrAg2, relaxed" formation_enthalpy_0k_mev_per_atom=345 magnetic_moment_mub_per_fu=3.95 pbc="T T T"
Zn 0.000 0.000 0.000
Zn 2.729 4.576 0.000
Cr 0.000 4.576 0.000
Cr 2.729 0.000 0.000
Ag 0.741 2.288 1.264
Ag 0.741 6.864 1.264
Ag 3.469 2.288 1.264
Ag 3.469 6.864 1.264

---

[6]
3
Lattice="4.636 0.000 0.000 -2.318 4.015 0.000 0.000 0.000 2.897" Properties=species:S:1:pos:R:3 comment="PBEsol ZrCrAg, relaxed" relative_energy_ev_per_atom=0.000 formation_enthalpy_0k_mev_per_atom=407 magnetic_moment_mub_per_fu=4.14 pbc="T T T"
Zr 0.000 0.000 0.000
Cr 0.000 2.676 1.475
Ag 2.318 1.338 1.424

---

[7]
22
Lattice="2.242 -8.004 0.000 2.242 8.004 0.000 0.000 0.000 18.215" Properties=species:S:1:pos:R:3 comment="PBEsol CsDy2Ag3Te5, relaxed" raw_formation_energy_kj_per_mol_atoms=-83.5 magnetic_moment_mub_per_fu=0.00 pbc="T T T"
Cs 2.242 7.074 13.661
Cs 2.242 -7.074 4.554
Dy 2.242 4.962 1.697
Dy 2.242 4.962 7.411
Dy 2.242 -4.962 10.804
Dy 2.242 -4.962 16.518
Ag 2.242 2.536 13.661
Ag 2.242 1.388 0.572
Ag 2.242 1.388 8.536
Ag 2.242 -1.388 9.679
Ag 2.242 -1.388 17.643
Ag 2.242 -2.536 4.554
Te 2.242 5.169 10.453
Te 2.242 5.169 16.869
Te 2.242 3.912 4.554
Te 2.242 0.974 11.285
Te 2.242 0.974 16.037
Te 2.242 -0.974 2.178
Te 2.242 -0.974 6.930
Te 2.242 -3.912 13.661
Te 2.242 -5.169 1.346
Te 2.242 -5.169 7.761

---

[8]
22
Lattice="2.232 -8.020 0.000 2.232 8.020 0.000 0.000 0.000 18.140" Properties=species:S:1:pos:R:3 comment="PBEsol CsEr2Ag3Te5, relaxed" raw_formation_energy_kj_per_mol_atoms=-82.0 magnetic_moment_mub_per_fu=0.00 pbc="T T T"
Cs 2.232 7.099 13.605
Cs 2.232 -7.099 4.535
Er 2.232 4.962 1.697
Er 2.232 4.962 7.373
Er 2.232 -4.962 10.768
Er 2.232 -4.962 16.443
Ag 2.232 2.547 13.605
Ag 2.232 1.364 0.604
Ag 2.232 1.364 8.466
Ag 2.232 -1.364 9.674
Ag 2.232 -1.364 17.537
Ag 2.232 -2.547 4.535
Te 2.232 5.165 10.397
Te 2.232 5.165 16.814
Te 2.232 3.909 4.535
Te 2.232 1.006 11.231
Te 2.232 1.006 15.980
Te 2.232 -1.006 2.161
Te 2.232 -1.006 6.910
Te 2.232 -3.909 13.605
Te 2.232 -5.165 1.327
Te 2.232 -5.165 7.744

---

[9]
14
Lattice="4.423 0.000 0.000 0.000 4.423 0.000 0.000 0.000 14.419" Properties=species:S:1:pos:R:3 comment="PBEsol Cs2AgF4, relaxed" raw_formation_energy_kj_per_mol_atoms=-204.0 relative_energy_ev_per_atom=0.003 magnetic_moment_mub_per_fu=0.42 pbc="T T T"
Cs 0.000 0.000 2.087
Cs 0.000 0.000 12.332
Cs 2.211 2.211 5.123
Cs 2.211 2.211 9.296
Ag 0.000 0.000 7.209
Ag 2.211 2.211 0.000
F 0.000 0.000 5.034
F 0.000 0.000 9.385
F 0.000 2.211 0.000
F 0.000 2.211 7.209
F 2.211 0.000 0.000
F 2.211 0.000 7.209
F 2.211 2.211 2.175
F 2.211 2.211 12.243

---

[10]
5
Lattice="4.887 0.000 0.000 0.000 4.887 0.000 0.000 0.000 4.887" Properties=species:S:1:pos:R:3 comment="PBEsol CsAg3F, relaxed" raw_formation_energy_kj_per_mol_atoms=9.2 magnetic_moment_mub_per_fu=0.00 pbc="T T T"
Cs 0.000 0.000 0.000
Ag 0.000 2.443 2.443
Ag 2.443 0.000 2.443
Ag 2.443 2.443 0.000
F 2.443 2.443 2.443

---

[11]
14
Lattice="7.089 -3.188 0.000 7.089 3.188 0.000 0.000 0.000 6.376" Properties=species:S:1:pos:R:3 comment="PBEsol Cs2AgF4, relaxed" raw_formation_energy_kj_per_mol_atoms=-204.2 relative_energy_ev_per_atom=0.000 magnetic_moment_mub_per_fu=0.98 pbc="T T T"
Cs 2.024 0.000 0.000
Cs 5.064 0.000 3.188
Cs 9.113 0.000 3.188
Cs 12.153 0.000 0.000
Ag 0.000 0.000 3.188
Ag 7.089 0.000 0.000
F 2.138 0.000 3.188
F 7.089 1.694 4.681
F 7.089 1.494 1.493
F 4.951 0.000 0.000
F 9.227 0.000 0.000
F 7.089 -1.494 4.883
F 7.089 -1.694 1.695
F 12.039 0.000 3.188

---

[12]
9
Lattice="0.000 4.476 4.476 4.476 0.000 4.476 4.476 4.476 0.000" Properties=species:S:1:pos:R:3 comment="PBEsol Cs2AgF6, relaxed" raw_formation_energy_kj_per_mol_atoms=-179.7 magnetic_moment_mub_per_fu=1.02 pbc="T T T"
Cs 2.238 2.238 2.238
Cs 6.714 6.714 6.714
Ag 0.000 0.000 0.000
F 4.476 4.476 1.981
F 4.476 1.981 4.476
F 6.971 4.476 4.476
F 1.981 4.476 4.476
F 4.476 6.971 4.476
F 4.476 4.476 6.971

---

Listing E_tot for the structures above in their given order: -70.1; -35.0; -30.0; -51.6; -34.1; -21.4; -96.0; -95.4; -55.4; -12.3; -55.4; -33.5 eV per cell.